Density functional theory data (PBE-GGA) for an optimized crystal structure of Sn3TePb.

Values from the calculation:
Energy above the lowest structure with this stoichiometry, eV per atom: 0.131
Raw formation energy, meV per atom: 666.2

Unit cell a=5.8323 b=5.8323 c=5.8323 alpha=90.00 beta=90.00 gamma=90.00
Last column: nearest neighbours and their distance in Å.
Space group Pm-3m (No. 221)
Symmetry-distinct sites (fractional):
Sn: 0.0000 0.0000 0.5000  2 Pb 2.92
Te: 0.5000 0.5000 0.5000  12 Sn 4.12
Pb: 0.0000 0.0000 0.0000  6 Sn 2.92



Density functional theory data (PBE-GGA) for an optimized crystal structure of Sn4Te6Pb.

Values from the calculation:
Raw formation energy, meV per atom: -184.6

Unit cell a=6.3985 b=6.5114 c=9.2216 alpha=99.75 beta=90.57 gamma=90.72
Last column: nearest neighbours and their distance in Å.
Space group P1 (No. 1)
Symmetry-distinct sites (fractional):
Sn: 0.0000 0.0000 0.0000  5 Te 3.00-3.27
Sn: 0.0177 0.3409 0.6341  6 Te 3.08-3.45
Sn: 0.4719 0.4988 0.0078  4 Te 2.93-3.08
Sn: 0.5089 0.8110 0.6343  5 Te 2.98-3.24
Te: 0.0083 0.4563 0.9731  3 Sn 2.98-3.09
Te: 0.0112 0.8751 0.6603  5 Sn 3.08-3.45, 1 Te 3.29
Te: 0.0125 0.9673 0.3201  1 Sn 3.00, 2 Pb 3.17-3.31, 1 Te 3.29
Te: 0.5087 0.9597 0.9793  4 Sn 3.06-3.27, 1 Pb 3.15
Te: 0.5203 0.3668 0.6735  4 Sn 2.98-3.23
Te: 0.5410 0.5157 0.3237  2 Sn 2.93-3.18, 1 Pb 3.06
Pb: 0.5032 0.0468 0.3261  4 Te 3.06-3.31



Density functional theory data (PBE-GGA) for an optimized crystal structure of SnTe3Pb.

Values from the calculation:
Energy above the lowest structure with this stoichiometry, eV per atom: 0.595
Raw formation energy, meV per atom: 477.0

Unit cell a=5.8242 b=5.8242 c=5.8242 alpha=90.00 beta=90.00 gamma=90.00
Last column: nearest neighbours and their distance in Å.
Space group Pm-3m (No. 221)
Symmetry-distinct sites (fractional):
Sn: 0.0000 0.0000 0.0000  12 Te 4.12
Te: 0.0000 0.5000 0.5000  2 Pb 2.91
Pb: 0.5000 0.5000 0.5000  6 Te 2.91



Density functional theory data (PBE-GGA) for an optimized crystal structure of Sn2Te4Pb.

Values from the calculation:
Energy above the lowest structure with this stoichiometry, eV per atom: 0.008
Raw formation energy, meV per atom: -214.8

Unit cell a=4.5110 b=14.7751 c=14.0672 alpha=90.00 beta=90.00 gamma=90.00
Last column: nearest neighbours and their distance in Å.
Space group Cmcm (No. 63)
Symmetry-distinct sites (fractional):
Sn: 0.0000 0.1408 0.0572  6 Te 2.96-3.17
Te: 0.0000 0.0602 0.2500  2 Sn 2.96, 2 Pb 3.12
Te: 0.0000 0.2314 0.6395  3 Sn 3.07-3.16, 1 Te 3.11
Te: 0.0000 0.5000 0.0000  4 Sn 3.17
Pb: 0.0000 0.4148 0.2500  6 Te 3.12-3.49



Density functional theory data (PBE-GGA) for an optimized crystal structure of SnTe3Pb.

Values from the calculation:
Energy above the lowest structure with this stoichiometry, eV per atom: 0.000
Raw formation energy, meV per atom: -117.9

Unit cell a=7.6481 b=5.1077 c=10.9702 alpha=90.00 beta=101.66 gamma=90.00
Last column: nearest neighbours and their distance in Å.
Space group P2_1/m (No. 11)
Symmetry-distinct sites (fractional):
Sn: 0.0978 0.2500 0.1392  5 Te 2.81-3.09
Te: 0.0652 0.7500 0.6528  1 Sn 2.81
Te: 0.2315 0.7500 0.0612  3 Sn 2.94-2.99
Te: 0.4663 0.2500 0.3187  1 Sn 3.09, 3 Pb 3.19-3.24
Pb: 0.2998 0.2500 0.5626  6 Te 3.19-3.38



Density functional theory data (PBE-GGA) for an optimized crystal structure of SnTePb2.

Values from the calculation:
Energy above the lowest structure with this stoichiometry, eV per atom: 0.000
Raw formation energy, meV per atom: -30.8

Unit cell a=5.5469 b=5.5469 c=3.9656 alpha=90.00 beta=90.00 gamma=90.00
Last column: nearest neighbours and their distance in Å.
Space group P4/mmm (No. 123)
Symmetry-distinct sites (fractional):
Sn: 0.0000 0.0000 0.0000  8 Pb 3.41
Te: 0.5000 0.5000 0.0000  8 Pb 3.41
Pb: 0.0000 0.5000 0.5000  4 Sn 3.41, 4 Te 3.41